[1]
{"formula": "KBeAg2", "functional": "GGA-PBE", "state": "relaxed", "lattice": [[-1.484, 2.711, 5.286], [1.484, -2.711, 5.286], [1.484, 2.711, -5.286]], "species": ["K", "Be", "Ag", "Ag"], "fractional_positions": [[0.000, 0.000, 0.000], [0.717, 0.217, 0.500], [0.299, 0.799, 0.500], [0.543, 0.543, 0.000]]}



[2]
{"formula": "CoRuAu2", "functional": "GGA-PBE", "state": "relaxed", "lattice": [[3.903, 0.000, 0.000], [0.000, 3.903, 0.000], [0.000, 0.000, 4.095]], "species": ["Co", "Ru", "Au", "Au"], "fractional_positions": [[0.000, 0.000, 0.000], [0.500, 0.500, 0.000], [0.000, 0.500, 0.500], [0.500, 0.000, 0.500]]}



[3]
{"formula": "BaIn6Au2", "functional": "GGA-PBE", "state": "relaxed", "lattice": [[0.000, 6.695, 6.695], [6.695, 0.000, 6.695], [6.695, 6.695, 0.000]], "species": ["Ba", "Ba", "In", "In", "In", "In", "In", "In", "In", "In", "In", "In", "In", "In", "Au", "Au", "Au", "Au"], "fractional_positions": [[0.125, 0.125, 0.125], [0.875, 0.875, 0.875], [0.138, 0.138, 0.612], [0.138, 0.612, 0.138], [0.138, 0.612, 0.612], [0.388, 0.388, 0.862], [0.388, 0.862, 0.388], [0.388, 0.862, 0.862], [0.612, 0.138, 0.138], [0.612, 0.138, 0.612], [0.612, 0.612, 0.138], [0.862, 0.388, 0.388], [0.862, 0.388, 0.862], [0.862, 0.862, 0.388], [0.000, 0.500, 0.500], [0.500, 0.000, 0.500], [0.500, 0.500, 0.000], [0.500, 0.500, 0.500]]}



| no. | DFT total energy (eV per formula unit) | ΔH_f (0 K) (eV/f.u.) | total moment (μB/cell) |
| --- | --- | --- | --- |
| 1 | -8.61 | 1.9 | 0.000 |
| 2 | -21.30 | 1.6 | 3.853 |
| 3 | -25.40 | -0.5 | 0.000 |